Y2PuAu, optimized geometry, DFT PBE; E = -7.94 eV/atom; formation energy = -309 meV per atom
1.0
3.578 0.000 0.000
0.000 3.578 0.000
0.000 0.000 8.429
Y Au Pu
2 1 1
Direct
0.000 0.000 0.211
0.000 0.000 0.789
0.500 0.500 0.000
0.500 0.500 0.500